[1]
VASP calculation (PBE) on a relaxed structure of LaTbPmTm2.

Cell: 3.579 5.581 8.646 Å, 90.00 90.00 90.00°
Atoms (fractional coordinates):
La 0.000 0.000 0.000
Tb 0.500 0.000 0.500
Pm 0.500 0.500 0.000
Tm 0.000 0.500 0.322
Tm 0.000 0.500 0.678

- Space-group type: Pmmm
- Energy relative to the elements: 277 meV per atom


[2]
VASP calculation (PBE) on a relaxed structure of La2TbPm2Y6.

Cell: 6.171 6.171 11.755 Å, 93.99 93.99 118.91°
Atoms (fractional coordinates):
La 0.179 0.821 0.000
La 0.821 0.179 0.000
Tb 0.000 0.000 0.500
Pm 0.337 0.663 0.500
Pm 0.663 0.337 0.500
Y 0.069 0.402 0.745
Y 0.266 0.266 0.247
Y 0.402 0.069 0.745
Y 0.598 0.931 0.255
Y 0.734 0.734 0.753
Y 0.931 0.598 0.255

- Space-group type: C2/m
- Energy relative to the elements: 180 meV per atom


[3]
VASP calculation (PBE) on a relaxed structure of La2TbPmY6.

Cell: 8.780 8.780 10.020 Å, 95.82 95.82 117.34°
Atoms (fractional coordinates):
La 0.191 0.283 0.044
La 0.283 0.191 0.544
La 0.717 0.809 0.456
La 0.809 0.717 0.956
Tb 0.404 0.596 0.750
Tb 0.596 0.404 0.250
Pm 0.013 0.987 0.250
Pm 0.987 0.013 0.750
Y 0.020 0.578 0.188
Y 0.117 0.734 0.557
Y 0.266 0.883 0.943
Y 0.302 0.511 0.383
Y 0.422 0.980 0.312
Y 0.489 0.698 0.117
Y 0.511 0.302 0.883
Y 0.578 0.020 0.688
Y 0.698 0.489 0.617
Y 0.734 0.117 0.057
Y 0.883 0.266 0.443
Y 0.980 0.422 0.812

- Space-group type: C2/c
- Energy relative to the elements: 114 meV per atom


[4]
VASP calculation (PBE) on a relaxed structure of La2Tb2PmY4.

Cell: 9.637 9.637 9.675 Å, 115.25 115.25 21.83°
Atoms (fractional coordinates):
La 0.166 0.166 0.498
La 0.834 0.834 0.502
Tb 0.352 0.352 0.837
Tb 0.648 0.648 0.163
Pm 0.500 0.500 0.500
Y 0.020 0.020 0.837
Y 0.314 0.314 0.163
Y 0.686 0.686 0.837
Y 0.980 0.980 0.163

- Space-group type: C2/m
- Energy relative to the elements: -5 meV per atom


[5]
VASP calculation (PBE) on a relaxed structure of LaTbPmY.

Cell: 6.297 6.297 6.297 Å, 131.74 131.74 70.64°
Atoms (fractional coordinates):
La 0.000 0.000 0.000
Tb 0.750 0.250 0.500
Pm 0.250 0.750 0.500
Y 0.500 0.500 0.000

- Space-group type: I-4m2
- Energy relative to the elements: 29 meV per atom
- Polymorph energy (0 for the lowest one): 0.00 eV per formula unit


[6]
VASP calculation (PBE) on a relaxed structure of La2Tb2PmY.

Cell: 7.152 5.750 9.940 Å, 90.00 90.00 90.00°
Atoms (fractional coordinates):
La 0.000 0.000 0.000
La 0.250 0.500 0.175
La 0.500 0.000 0.000
La 0.750 0.500 0.825
Tb 0.250 0.000 0.334
Tb 0.250 0.500 0.834
Tb 0.750 0.000 0.666
Tb 0.750 0.500 0.166
Pm 0.250 0.000 0.661
Pm 0.750 0.000 0.339
Y 0.000 0.500 0.500
Y 0.500 0.500 0.500

- Space-group type: Pmma
- Energy relative to the elements: 57 meV per atom


no.,calculated density (Mg/m³)
1,7.51
2,5.39
3,5.50
4,6.05
5,6.48
6,6.74